Here is a relaxed structure of TaTc2As from Alexandria. Energies are from GGA-PBE.

Geometry as POSCAR:
```
TaTc2As
1.0
1.589 -2.446 0.000
1.589 2.446 0.000
0.000 0.000 8.269
Ta Tc As
1 2 1
Direct
0.000 0.000 0.000
0.500 0.500 0.258
0.500 0.500 0.742
0.000 0.000 0.500
```

The total energy is -9.21 eV/atom. The value obtained for the formation energy is 0.10 eV per atom. As for the total magnetization: 0.000 μB per atom.